[1]
{"formula": "K4Rb2Co2O5", "functional": "GGA-PBEsol", "state": "relaxed", "vol_a3_per_cell": 514, "spacegroup": "P4_2/mnm, No. 136", "e_form_raw_mev_per_atom": -1108.4, "lattice": [[-2.099, 4.041, 4.874], [-4.610, -4.495, 1.742], [7.513, -4.882, 7.284]], "species": ["K", "K", "K", "K", "K", "K", "K", "K", "O", "O", "O", "O", "O", "O", "O", "O", "O", "O", "Co", "Co", "Co", "Co", "Rb", "Rb", "Rb", "Rb"], "fractional_positions": [[0.000, 0.000, 0.777], [0.500, 0.000, 0.250], [0.000, 0.500, 0.750], [0.000, 0.500, 0.250], [0.500, 0.500, 0.277], [0.000, 0.000, 0.223], [0.500, 0.000, 0.750], [0.500, 0.500, 0.723], [0.000, 0.000, 0.000], [0.787, 0.787, 0.638], [0.787, 0.787, 0.362], [0.213, 0.213, 0.638], [0.213, 0.213, 0.362], [0.287, 0.713, 0.862], [0.713, 0.287, 0.138], [0.713, 0.287, 0.862], [0.287, 0.713, 0.138], [0.500, 0.500, 0.500], [0.195, 0.805, 0.000], [0.805, 0.195, 0.000], [0.305, 0.305, 0.500], [0.695, 0.695, 0.500], [0.681, 0.681, 0.000], [0.181, 0.819, 0.500], [0.819, 0.181, 0.500], [0.319, 0.319, 0.000]]}

[2]
{"formula": "KCoRh2O", "functional": "GGA-PBEsol", "state": "relaxed", "vol_a3_per_cell": 112, "spacegroup": "P4/mmm, No. 123", "e_form_raw_mev_per_atom": 1394.3, "lattice": [[4.291, 0.000, 0.000], [0.000, 4.291, 0.000], [0.000, 0.000, 6.067]], "species": ["O", "Co", "Rh", "Rh", "K"], "fractional_positions": [[0.500, 0.500, 0.500], [0.000, 0.000, 0.000], [0.000, 0.500, 0.000], [0.500, 0.000, 0.000], [0.000, 0.000, 0.500]]}

[3]
{"formula": "K2Co2S3O12", "functional": "GGA-PBEsol", "state": "relaxed", "vol_a3_per_cell": 961, "spacegroup": "P2_13, No. 198", "e_form_raw_mev_per_atom": -1417.4, "lattice": [[-4.584, 5.432, -6.844], [-3.103, -8.237, -4.459], [-8.168, 0.081, 5.534]], "species": ["O", "O", "O", "O", "O", "O", "O", "O", "O", "O", "O", "O", "O", "O", "O", "O", "O", "O", "O", "O", "O", "O", "O", "O", "O", "O", "O", "O", "O", "O", "O", "O", "O", "O", "O", "O", "O", "O", "O", "O", "O", "O", "O", "O", "O", "O", "O", "O", "Co", "Co", "Co", "Co", "Co", "Co", "Co", "Co", "S", "S", "S", "S", "S", "S", "S", "S", "S", "S", "S", "S", "K", "K", "K", "K", "K", "K", "K", "K"], "fractional_positions": [[0.403, 0.167, 0.244], [0.258, 0.494, 0.447], [0.244, 0.403, 0.167], [0.744, 0.097, 0.833], [0.724, 0.463, 0.189], [0.833, 0.744, 0.097], [0.667, 0.256, 0.597], [0.242, 0.506, 0.947], [0.742, 0.994, 0.053], [0.553, 0.758, 0.006], [0.053, 0.742, 0.994], [0.463, 0.189, 0.724], [0.494, 0.447, 0.258], [0.925, 0.830, 0.498], [0.575, 0.170, 0.998], [0.498, 0.925, 0.830], [0.447, 0.258, 0.494], [0.506, 0.947, 0.242], [0.597, 0.667, 0.256], [0.811, 0.224, 0.037], [0.037, 0.811, 0.224], [0.670, 0.502, 0.425], [0.756, 0.903, 0.333], [0.903, 0.333, 0.756], [0.830, 0.498, 0.925], [0.075, 0.330, 0.002], [0.002, 0.075, 0.330], [0.758, 0.006, 0.553], [0.947, 0.242, 0.506], [0.170, 0.998, 0.575], [0.425, 0.670, 0.502], [0.224, 0.037, 0.811], [0.998, 0.575, 0.170], [0.256, 0.597, 0.667], [0.330, 0.002, 0.075], [0.311, 0.276, 0.963], [0.167, 0.244, 0.403], [0.276, 0.963, 0.311], [0.333, 0.756, 0.903], [0.502, 0.425, 0.670], [0.963, 0.311, 0.276], [0.689, 0.776, 0.537], [0.994, 0.053, 0.742], [0.776, 0.537, 0.689], [0.006, 0.553, 0.758], [0.097, 0.833, 0.744], [0.189, 0.724, 0.463], [0.537, 0.689, 0.776], [0.905, 0.405, 0.095], [0.837, 0.163, 0.663], [0.595, 0.595, 0.595], [0.337, 0.337, 0.337], [0.405, 0.095, 0.905], [0.095, 0.905, 0.405], [0.163, 0.663, 0.837], [0.663, 0.837, 0.163], [0.218, 0.377, 0.022], [0.282, 0.623, 0.522], [0.377, 0.022, 0.218], [0.623, 0.522, 0.282], [0.877, 0.478, 0.782], [0.478, 0.782, 0.877], [0.718, 0.123, 0.978], [0.123, 0.978, 0.718], [0.978, 0.718, 0.123], [0.782, 0.877, 0.478], [0.522, 0.282, 0.623], [0.022, 0.218, 0.377], [0.450, 0.950, 0.550], [0.185, 0.315, 0.685], [0.315, 0.685, 0.185], [0.685, 0.185, 0.315], [0.050, 0.050, 0.050], [0.950, 0.550, 0.450], [0.815, 0.815, 0.815], [0.550, 0.450, 0.950]]}

[4]
{"formula": "KCoOs2", "functional": "GGA-PBEsol", "state": "relaxed", "vol_a3_per_cell": 61, "formation_enthalpy_0k_ev_per_atom": 0.82, "spacegroup": "R-3m, No. 166", "de_polymorph_mev_per_atom": 0, "lattice": [[-0.057, 2.297, 1.374], [-1.757, 0.324, 1.994], [5.984, -2.791, 7.524]], "species": ["Os", "Os", "K", "Co"], "fractional_positions": [[0.766, 0.766, 0.702], [0.234, 0.234, 0.298], [0.000, 0.000, 0.000], [0.500, 0.500, 0.500]]}

[5]
{"formula": "KCoOs", "functional": "GGA-PBEsol", "state": "relaxed", "vol_a3_per_cell": 50, "formation_enthalpy_0k_ev_per_atom": 1.04, "spacegroup": "P3m1, No. 156", "lattice": [[2.727, 0.000, 0.000], [-1.363, 2.362, 0.000], [0.000, 0.000, 7.691]], "species": ["Os", "Co", "K"], "fractional_positions": [[0.667, 0.333, 0.290], [0.000, 0.000, 0.041], [0.333, 0.667, 0.669]]}

[6]
{"formula": "KCoOs2", "functional": "GGA-PBEsol", "state": "relaxed", "vol_a3_per_cell": 64, "formation_enthalpy_0k_ev_per_atom": 1.82, "spacegroup": "I4/mmm, No. 139", "de_polymorph_mev_per_atom": 997, "lattice": [[3.694, 0.000, 0.000], [0.000, 3.694, 0.000], [-1.847, -1.847, 4.691]], "species": ["K", "Os", "Os", "Co"], "fractional_positions": [[0.000, 0.000, 0.000], [0.250, 0.750, 0.500], [0.750, 0.250, 0.500], [0.500, 0.500, 0.000]]}

[7]
{"formula": "KCoP4", "functional": "GGA-PBEsol", "state": "relaxed", "vol_a3_per_cell": 104, "formation_enthalpy_0k_ev_per_atom": 0.59, "spacegroup": "F-43m, No. 216", "lattice": [[5.274, 0.000, 0.000], [2.637, 4.567, 0.000], [2.637, 1.522, 4.306]], "species": ["P", "P", "P", "P", "K", "Co"], "fractional_positions": [[0.390, 0.831, 0.390], [0.390, 0.390, 0.831], [0.390, 0.390, 0.390], [0.831, 0.390, 0.390], [0.000, 0.000, 0.000], [0.750, 0.750, 0.750]]}

[8]
{"formula": "KCo2P", "functional": "GGA-PBEsol", "state": "relaxed", "vol_a3_per_cell": 64, "formation_enthalpy_0k_ev_per_atom": 0.21, "spacegroup": "Pmm2, No. 25", "lattice": [[-2.650, -0.297, 0.197], [-0.202, -0.403, -3.324], [0.852, -7.080, 0.806]], "species": ["Co", "Co", "P", "K"], "fractional_positions": [[0.500, 0.500, 0.147], [0.000, 0.000, 0.994], [0.500, 0.500, 0.845], [0.000, 0.000, 0.514]]}

The records above give, respectively, DOS at the Fermi energy values of 14.9; 9.8; 63.1; 3.6; 2.8; 6.9; 6.8; 3.0 states/eV per cell.
The records above give, respectively, total moment values of 11.999; 2.189; 24.000; 0.387; 1.904; 2.064; 1.828; 2.354 μB/cell.